# MgFe10O16F4

A relaxed structure of MgFe10O16F4 (GGA+U, Alexandria via LeMat-Bulk).

Computed properties:
V in Å³/f.u.: 337.4
Symmetry: P1
Polymorph energy (0 for the lowest one) in meV per atom: 79.7

Cell lengths 4.8771, 5.5193, 12.7876 Å; angles 78.61, 90.14, 89.64 degrees
Element x y z (fractional)
1 O 0.6762 0.0489 0.7429
2 F 0.8203 0.5446 0.7447
3 Fe 0.5284 0.6159 0.2242
4 O 0.7066 0.8491 0.5516
5 Fe 0.4667 0.2994 0.8022
6 O 0.1888 0.4348 0.2582
7 Fe 0.5164 0.5523 0.9818
8 F 0.8320 0.3425 0.5474
9 Fe 0.9981 0.8239 0.8008
10 O 0.7045 0.6235 0.3539
11 O 0.1869 0.8686 0.6684
12 Fe 0.4904 0.0914 0.6099
13 O 0.6310 0.2446 0.9451
14 Mg 0.4808 0.0983 0.0972
15 Fe 0.9651 0.0294 0.9924
16 O 0.6535 0.4147 0.1299
17 O 0.2046 0.6602 0.4581
18 O 0.2995 0.5752 0.8575
19 O 0.8219 0.7652 0.9358
20 O 0.8115 0.1379 0.3369
21 O 0.1625 0.0764 0.8606
22 Fe 0.0276 0.3896 0.4027
23 O 0.3232 0.3682 0.6593
24 O 0.1397 0.2736 0.0620
25 O 0.8212 0.9243 0.1436
26 F 0.3266 0.7924 0.0612
27 O 0.3277 0.1510 0.4672
28 Fe 0.5292 0.8868 0.4142
29 F 0.3384 0.9467 0.2478
30 Fe 0.0355 0.6216 0.5989
31 Fe 0.9713 0.2025 0.1996